Entry 1:
First-principles (PBEsol) data for crystalline BeAgOs2 at its relaxed geometry, as listed in Alexandria.

a b c (Å): 3.670 3.670 8.125
angles (deg): 90.00 90.00 90.00
Fractional positions:
Be: 0.000 0.000 0.000
Be: 0.500 0.500 0.500
Ag: 0.000 0.000 0.500
Ag: 0.500 0.500 0.000
Os: 0.000 0.500 0.250
Os: 0.000 0.500 0.750
Os: 0.500 0.000 0.250
Os: 0.500 0.000 0.750

Crystal system = tetragonal
Formation energy from the elements = 0.739 eV/atom
VASP energy = -7.20 eV/atom

---

Entry 2:
First-principles (PBEsol) data for crystalline Cu3CF at its relaxed geometry, as listed in Alexandria.

a b c (Å): 3.922 3.922 3.922
angles (deg): 90.00 90.00 90.00
Fractional positions:
Cu: 0.000 0.000 0.500
Cu: 0.000 0.500 0.000
Cu: 0.500 0.000 0.000
C: 0.500 0.500 0.500
F: 0.000 0.000 0.000

Crystal system = cubic
Raw formation energy = 1.290 eV/atom
VASP energy = -3.62 eV/atom

---

Entry 3:
First-principles (PBEsol) data for crystalline CoTe3O at its relaxed geometry, as listed in Alexandria.

a b c (Å): 4.873 4.873 4.873
angles (deg): 90.00 90.00 90.00
Fractional positions:
Co: 0.000 0.000 0.000
Te: 0.000 0.000 0.500
Te: 0.000 0.500 0.000
Te: 0.500 0.000 0.000
O: 0.500 0.500 0.500

Crystal system = cubic
Raw formation energy = 0.744 eV/atom
VASP energy = -3.97 eV/atom

---

Entry 4:
First-principles (PBEsol) data for crystalline KBeMo3 at its relaxed geometry, as listed in Alexandria.

a b c (Å): 4.376 4.376 4.376
angles (deg): 90.00 90.00 90.00
Fractional positions:
K: 0.000 0.000 0.000
Be: 0.500 0.500 0.500
Mo: 0.000 0.000 0.500
Mo: 0.000 0.500 0.000
Mo: 0.500 0.000 0.000

Crystal system = cubic
Formation energy from the elements = 3.186 eV/atom
VASP energy = -4.90 eV/atom

---

Entry 5:
First-principles (PBEsol) data for crystalline Sb4C at its relaxed geometry, as listed in Alexandria.

a b c (Å): 6.172 6.172 6.172
angles (deg): 90.00 90.00 90.00
Fractional positions:
Sb: 0.250 0.250 0.250
Sb: 0.250 0.250 0.750
Sb: 0.250 0.750 0.250
Sb: 0.250 0.750 0.750
Sb: 0.750 0.250 0.250
Sb: 0.750 0.250 0.750
Sb: 0.750 0.750 0.250
Sb: 0.750 0.750 0.750
C: 0.000 0.000 0.000
C: 0.500 0.500 0.500

Crystal system = cubic
Raw formation energy = 0.902 eV/atom
VASP energy = -4.67 eV/atom

---

Entry 6:
First-principles (PBEsol) data for crystalline NbInAs2Br at its relaxed geometry, as listed in Alexandria.

a b c (Å): 5.042 5.042 5.240
angles (deg): 90.00 90.00 90.00
Fractional positions:
Nb: 0.000 0.000 0.000
In: 0.500 0.500 0.500
As: 0.000 0.500 0.500
As: 0.500 0.000 0.500
Br: 0.500 0.500 0.000

Crystal system = tetragonal
Raw formation energy = 1.124 eV/atom
VASP energy = -4.05 eV/atom

---

Entry 7:
First-principles (PBEsol) data for crystalline Ga3WO at its relaxed geometry, as listed in Alexandria.

a b c (Å): 4.884 4.884 4.884
angles (deg): 90.00 90.00 90.00
Fractional positions:
Ga: 0.000 0.000 0.500
Ga: 0.000 0.500 0.000
Ga: 0.500 0.000 0.000
W: 0.000 0.000 0.000
O: 0.500 0.500 0.500

Crystal system = cubic
Raw formation energy = 1.087 eV/atom
VASP energy = -4.73 eV/atom

---

Entry 8:
First-principles (PBEsol) data for crystalline LaOF at its relaxed geometry, as listed in Alexandria.

a b c (Å): 4.035 4.035 5.772
angles (deg): 90.00 90.00 90.00
Fractional positions:
La: 0.250 0.250 0.216
La: 0.750 0.750 0.784
O: 0.250 0.750 0.000
O: 0.750 0.250 0.000
F: 0.250 0.750 0.500
F: 0.750 0.250 0.500

Crystal system = tetragonal
Raw formation energy = -3.896 eV/atom
VASP energy = -8.07 eV/atom

---

Entry 9:
First-principles (PBEsol) data for crystalline Li2YTiPd at its relaxed geometry, as listed in Alexandria.

a b c (Å): 4.654 4.654 5.207
angles (deg): 90.00 90.00 90.00
Fractional positions:
Li: 0.000 0.500 0.000
Li: 0.500 0.000 0.000
Y: 0.000 0.000 0.500
Ti: 0.500 0.500 0.500
Pd: 0.000 0.000 0.000

Crystal system = tetragonal
Formation energy from the elements = 0.406 eV/atom
VASP energy = -4.60 eV/atom

---

Entry 10:
First-principles (PBEsol) data for crystalline BaYCl3 at its relaxed geometry, as listed in Alexandria.

a b c (Å): 5.197 5.197 5.197
angles (deg): 90.00 90.00 90.00
Fractional positions:
Ba: 0.000 0.000 0.000
Y: 0.500 0.500 0.500
Cl: 0.000 0.500 0.500
Cl: 0.500 0.000 0.500
Cl: 0.500 0.500 0.000

Crystal system = cubic
Raw formation energy = -1.713 eV/atom
VASP energy = -4.71 eV/atom

---

Entry 11:
First-principles (PBEsol) data for crystalline CsNbN2 at its relaxed geometry, as listed in Alexandria.

a b c (Å): 6.154 12.424 17.438
angles (deg): 90.00 90.00 90.00
Fractional positions:
Cs: 0.209 0.247 0.187
Cs: 0.209 0.253 0.687
Cs: 0.248 0.501 0.562
Cs: 0.248 0.999 0.062
Cs: 0.252 0.001 0.562
Cs: 0.252 0.499 0.062
Cs: 0.291 0.747 0.187
Cs: 0.291 0.753 0.687
Cs: 0.709 0.247 0.313
Cs: 0.709 0.253 0.813
Cs: 0.748 0.501 0.938
Cs: 0.748 0.999 0.438
Cs: 0.752 0.001 0.938
Cs: 0.752 0.499 0.438
Cs: 0.791 0.747 0.313
Cs: 0.791 0.753 0.813
Nb: 0.221 0.243 0.438
Nb: 0.221 0.257 0.938
Nb: 0.248 0.503 0.812
Nb: 0.248 0.997 0.312
Nb: 0.252 0.003 0.812
Nb: 0.252 0.497 0.312
Nb: 0.279 0.743 0.438
Nb: 0.279 0.757 0.938
Nb: 0.721 0.243 0.062
Nb: 0.721 0.257 0.562
Nb: 0.748 0.503 0.688
Nb: 0.748 0.997 0.188
Nb: 0.752 0.003 0.688
Nb: 0.752 0.497 0.188
Nb: 0.779 0.743 0.062
Nb: 0.779 0.757 0.562
N: 0.044 0.510 0.229
N: 0.044 0.990 0.729
N: 0.068 0.728 0.019
N: 0.068 0.772 0.519
N: 0.200 0.609 0.387
N: 0.200 0.891 0.887
N: 0.220 0.142 0.862
N: 0.220 0.358 0.362
N: 0.280 0.642 0.862
N: 0.280 0.858 0.362
N: 0.300 0.109 0.387
N: 0.300 0.391 0.887
N: 0.432 0.228 0.019
N: 0.432 0.272 0.519
N: 0.456 0.010 0.229
N: 0.456 0.490 0.729
N: 0.544 0.510 0.271
N: 0.544 0.990 0.771
N: 0.568 0.728 0.481
N: 0.568 0.772 0.981
N: 0.700 0.609 0.113
N: 0.700 0.891 0.613
N: 0.720 0.142 0.638
N: 0.720 0.358 0.138
N: 0.780 0.642 0.638
N: 0.780 0.858 0.138
N: 0.800 0.109 0.113
N: 0.800 0.391 0.613
N: 0.932 0.228 0.481
N: 0.932 0.272 0.981
N: 0.956 0.010 0.271
N: 0.956 0.490 0.771

Crystal system = orthorhombic
Raw formation energy = -0.834 eV/atom
VASP energy = -8.04 eV/atom

---

Entry 12:
First-principles (PBEsol) data for crystalline MgRh2Pb at its relaxed geometry, as listed in Alexandria.

a b c (Å): 3.242 3.253 6.226
angles (deg): 90.00 90.00 90.00
Fractional positions:
Mg: 0.000 0.000 0.000
Rh: 0.500 0.500 0.244
Rh: 0.500 0.500 0.756
Pb: 0.000 0.000 0.500

Crystal system = orthorhombic
Formation energy from the elements = -0.211 eV/atom
VASP energy = -5.71 eV/atom

---

Entry 13:
First-principles (PBEsol) data for crystalline BaGe3Pt at its relaxed geometry, as listed in Alexandria.

a b c (Å): 4.556 4.556 10.197
angles (deg): 90.00 90.00 90.00
Fractional positions:
Ba: 0.000 0.000 0.000
Ba: 0.500 0.500 0.500
Ge: 0.000 0.000 0.599
Ge: 0.000 0.500 0.246
Ge: 0.000 0.500 0.746
Ge: 0.500 0.000 0.246
Ge: 0.500 0.000 0.746
Ge: 0.500 0.500 0.099
Pt: 0.000 0.000 0.352
Pt: 0.500 0.500 0.852

Crystal system = tetragonal
Formation energy from the elements = -0.680 eV/atom
VASP energy = -5.47 eV/atom

---

Entry 14:
First-principles (PBEsol) data for crystalline CrRuF3 at its relaxed geometry, as listed in Alexandria.

a b c (Å): 4.102 4.102 4.102
angles (deg): 90.00 90.00 90.00
Fractional positions:
Cr: 0.000 0.000 0.000
Ru: 0.500 0.500 0.500
F: 0.000 0.500 0.500
F: 0.500 0.000 0.500
F: 0.500 0.500 0.000

Crystal system = cubic
Raw formation energy = -0.524 eV/atom
VASP energy = -5.76 eV/atom

---

Entry 15:
First-principles (PBEsol) data for crystalline MoSI2 at its relaxed geometry, as listed in Alexandria.

a b c (Å): 6.925 6.925 6.925
angles (deg): 90.00 90.00 90.00
Fractional positions:
Mo: 0.000 0.000 0.000
Mo: 0.000 0.500 0.500
Mo: 0.500 0.000 0.500
Mo: 0.500 0.500 0.000
S: 0.000 0.000 0.500
S: 0.000 0.500 0.000
S: 0.500 0.000 0.000
S: 0.500 0.500 0.500
I: 0.250 0.250 0.250
I: 0.250 0.250 0.750
I: 0.250 0.750 0.250
I: 0.250 0.750 0.750
I: 0.750 0.250 0.250
I: 0.750 0.250 0.750
I: 0.750 0.750 0.250
I: 0.750 0.750 0.750

Crystal system = cubic
Raw formation energy = 0.841 eV/atom
VASP energy = -4.08 eV/atom

---

Entry 16:
First-principles (PBEsol) data for crystalline Pt3Au at its relaxed geometry, as listed in Alexandria.

a b c (Å): 2.756 4.700 4.790
angles (deg): 90.00 90.00 90.00
Fractional positions:
Pt: 0.000 0.000 0.000
Pt: 0.000 0.500 0.332
Pt: 0.500 0.500 0.841
Au: 0.500 0.000 0.502

Crystal system = orthorhombic
Formation energy from the elements = 0.098 eV/atom
VASP energy = -6.11 eV/atom

---

Entry 17:
First-principles (PBEsol) data for crystalline LaSbAs2Br at its relaxed geometry, as listed in Alexandria.

a b c (Å): 5.238 5.238 5.233
angles (deg): 90.00 90.00 90.00
Fractional positions:
La: 0.000 0.000 0.000
Sb: 0.500 0.500 0.500
As: 0.000 0.500 0.500
As: 0.500 0.000 0.500
Br: 0.500 0.500 0.000

Crystal system = tetragonal
Energy above the most stable polymorph in this dataset = 0.0 meV/atom
Raw formation energy = -0.148 eV/atom
VASP energy = -4.55 eV/atom

---

Entry 18:
First-principles (PBEsol) data for crystalline RbNaTe2Os at its relaxed geometry, as listed in Alexandria.

a b c (Å): 5.211 5.211 5.532
angles (deg): 90.00 90.00 90.00
Fractional positions:
Rb: 0.000 0.000 0.000
Na: 0.500 0.500 0.000
Te: 0.000 0.500 0.500
Te: 0.500 0.000 0.500
Os: 0.500 0.500 0.500

Crystal system = tetragonal
Raw formation energy = 0.127 eV/atom
VASP energy = -4.21 eV/atom

---

Entry 19:
First-principles (PBEsol) data for crystalline FeCoSi2 at its relaxed geometry, as listed in Alexandria.

a b c (Å): 4.403 4.397 4.404
angles (deg): 90.00 90.32 90.00
Fractional positions:
Fe: 0.141 0.000 0.389
Fe: 0.859 0.500 0.611
Co: 0.361 0.281 0.893
Co: 0.639 0.781 0.107
Si: 0.156 0.800 0.906
Si: 0.343 0.484 0.411
Si: 0.657 0.984 0.589
Si: 0.844 0.300 0.094

Crystal system = monoclinic
Raw formation energy = -0.674 eV/atom
VASP energy = -7.72 eV/atom

---

Entry 20:
First-principles (PBEsol) data for crystalline K2NaGeS at its relaxed geometry, as listed in Alexandria.

a b c (Å): 6.281 6.281 4.680
angles (deg): 90.00 90.00 90.00
Fractional positions:
K: 0.000 0.500 0.000
K: 0.500 0.000 0.000
Na: 0.000 0.000 0.000
Ge: 0.500 0.500 0.500
S: 0.000 0.000 0.500

Crystal system = tetragonal
Raw formation energy = 0.111 eV/atom
VASP energy = -2.49 eV/atom